{"formula": "BaTcMo2", "functional": "GGA-PBE", "state": "relaxed", "relative_energy_ev_per_atom": 0.063, "crystal_system": "monoclinic", "energy_ev_per_cell": -30.93, "cell": [[-4.127, 0.448, 0.111], [-0.273, -1.935, -2.333], [-0.586, -6.302, 3.667]], "species": ["Mo", "Mo", "Ba", "Tc"], "frac_coords": [[0.000, 0.962, 0.096], [0.500, 0.234, 0.256], [0.500, 0.766, 0.745], [0.000, 0.537, 0.402]]}